No. 1
Compound: TaNi
Source: Alexandria
Functional: PBE
Structure: relaxed

Cell lengths 4.9288, 4.9288, 4.9288 Å; angles 90.00, 90.00, 90.00 degrees
Last column: nearest neighbours and their distance in Å.
Fractional positions:
Ta: 0.0906 0.0906 0.0906  7 Ni 2.59-2.69
Ta: 0.4094 0.9094 0.5906  7 Ni 2.59-2.69
Ta: 0.5906 0.4094 0.9094  7 Ni 2.59-2.69
Ta: 0.9094 0.5906 0.4094  7 Ni 2.59-2.69
Ni: 0.1013 0.6013 0.8987  7 Ta 2.59-2.69
Ni: 0.3987 0.3987 0.3987  7 Ta 2.59-2.69
Ni: 0.6013 0.8987 0.1013  7 Ta 2.59-2.69
Ni: 0.8987 0.1013 0.6013  7 Ta 2.59-2.69

Values from the calculation:
DOS(E_F): 11.74 states/eV/cell
Density: 13.29 g/cm3
Calculated formation energy: 0.009 eV/atom

No. 2
Compound: TaNi
Source: Alexandria
Functional: PBE
Structure: relaxed

Cell lengths 6.7100, 6.7100, 6.7100 Å; angles 90.00, 90.00, 90.00 degrees
Last column: nearest neighbours and their distance in Å.
Fractional positions:
Ta: 0.0000 0.2500 0.5000  4 Ni 2.37
Ta: 0.0000 0.7500 0.5000  4 Ni 2.37
Ta: 0.2500 0.5000 0.0000  4 Ni 2.37
Ta: 0.5000 0.0000 0.2500  4 Ni 2.37
Ta: 0.5000 0.0000 0.7500  4 Ni 2.37
Ta: 0.7500 0.5000 0.0000  4 Ni 2.37
Ni: 0.0000 0.5000 0.2500  4 Ta 2.37
Ni: 0.0000 0.5000 0.7500  4 Ta 2.37
Ni: 0.2500 0.0000 0.5000  4 Ta 2.37
Ni: 0.5000 0.2500 0.0000  4 Ta 2.37
Ni: 0.5000 0.7500 0.0000  4 Ta 2.37
Ni: 0.7500 0.0000 0.5000  4 Ta 2.37

Values from the calculation:
DOS(E_F): 17.36 states/eV/cell
Density: 7.90 g/cm3
Calculated formation energy: 1.327 eV/atom

No. 3
Compound: Ta4Ni
Source: Alexandria
Functional: PBE
Structure: relaxed

Cell lengths 4.5898, 4.5898, 4.5898 Å; angles 90.00, 90.00, 90.00 degrees
Last column: nearest neighbours and their distance in Å.
Fractional positions:
Ta: 0.0000 0.0000 0.0000  12 Ta 3.25
Ta: 0.0000 0.5000 0.5000  2 Ni 2.29
Ta: 0.5000 0.0000 0.5000  2 Ni 2.29
Ta: 0.5000 0.5000 0.0000  2 Ni 2.29
Ni: 0.5000 0.5000 0.5000  6 Ta 2.29

Values from the calculation:
DOS(E_F): 7.30 states/eV/cell
Density: 13.44 g/cm3
Energy relative to the lowest polymorph listed for this composition: 0.61 eV per formula unit
Calculated formation energy: 0.883 eV/atom